A plane-wave DFT calculation with PBEsol was carried out for an optimized crystal structure of LaCd3Pb.

a b c (Å): 5.7690 5.7690 5.7690
angles (deg): 90.00 90.00 90.00
Sites, in units of the cell vectors:
Cd 0.0000 0.5000 0.0000
Cd 0.0000 0.0000 0.5000
Cd 0.5000 0.0000 0.0000
Pb 0.5000 0.5000 0.5000
La 0.0000 0.0000 0.0000

- ΔE_f: 0.881 eV per atom
- D(E_F): 7.56 states/eV/f.u.